(1)
Compound: Hf2TaSeBr
Source: the Alexandria database
Functional: meta-GGA SCAN
Structure: PBEsol geometry

a = 5.178 Å, b = 5.178 Å, c = 4.784 Å
α = 90.00°, β = 90.00°, γ = 90.00°
Space group P4/mmm (No. 123)
Asymmetric unit:
Hf1 0.000 0.500 0.000 (multiplicity 2)
Ta1 0.000 0.000 0.000 (multiplicity 1)
Se1 0.000 0.000 0.500 (multiplicity 1)
Br1 0.500 0.500 0.500 (multiplicity 1)

Output
E, eV/atom: -45.71
Formation energy (no corrections), eV/f.u.: 2.9
V, Å³ per atom: 25.65
Total magnetization, μB per atom: 0.000

---

(2)
Compound: In3RePd
Source: the Alexandria database
Functional: meta-GGA SCAN
Structure: PBEsol geometry

a = 5.076 Å, b = 5.076 Å, c = 5.076 Å
α = 90.00°, β = 90.00°, γ = 90.00°
Space group Pm-3m (No. 221)
Asymmetric unit:
In1 0.000 0.000 0.500 (multiplicity 3)
Re1 0.000 0.000 0.000 (multiplicity 1)
Pd1 0.500 0.500 0.500 (multiplicity 1)

Output
E, eV/atom: -40.05
V, Å³ per atom: 26.16
Energy of formation, eV per atom: 0.752
Total magnetization, μB per atom: 0.000

---

(3)
Compound: Dy2Pb2O7
Source: the Alexandria database
Functional: meta-GGA SCAN
Structure: PBEsol geometry

a = 10.627 Å, b = 10.627 Å, c = 10.627 Å
α = 90.00°, β = 90.00°, γ = 90.00°
Space group Fd-3m (No. 227, origin choice 2)
Asymmetric unit:
Dy1 0.000 0.000 0.000 (multiplicity 16)
Pb1 0.000 0.000 0.500 (multiplicity 16)
O1 0.100 0.375 0.875 (multiplicity 48)
O2 0.125 0.125 0.125 (multiplicity 8)

Output
E, eV/atom: -28.71
Formation energy (no corrections), eV/f.u.: -25.1
V, Å³ per atom: 13.64
Total magnetization, μB per atom: 0.000

---

(4)
Compound: NaNdHg2
Source: the Alexandria database
Functional: meta-GGA SCAN
Structure: PBEsol geometry

a = 7.315 Å, b = 7.315 Å, c = 7.315 Å
α = 90.00°, β = 90.00°, γ = 90.00°
Space group Fm-3m (No. 225)
Asymmetric unit:
Na1 0.000 0.000 0.000 (multiplicity 4)
Nd1 0.000 0.000 0.500 (multiplicity 4)
Hg1 0.250 0.250 0.250 (multiplicity 8)

Output
E, eV/atom: -46.58
V, Å³ per atom: 24.46
Energy of formation, eV per atom: -0.551
Total magnetization, μB per atom: 0.000

---

(5)
Compound: K2TaS2
Source: the Alexandria database
Functional: meta-GGA SCAN
Structure: PBEsol geometry

a = 3.540 Å, b = 3.540 Å, c = 14.789 Å
α = 90.00°, β = 90.00°, γ = 90.00°
Space group I4/mmm (No. 139)
Asymmetric unit:
K1 0.000 0.500 0.250 (multiplicity 4)
Ta1 0.000 0.000 0.000 (multiplicity 2)
S1 0.000 0.000 0.409 (multiplicity 4)

Output
E, eV/atom: -20.24
Formation energy (no corrections), eV/f.u.: 1.3
V, Å³ per atom: 18.54
Total magnetization, μB per atom: 0.000

---

(6)
Compound: Ca2P7Ir12
Source: the Alexandria database
Functional: meta-GGA SCAN
Structure: PBEsol geometry

a = 9.5077 Å, b = 9.5077 Å, c = 3.8925 Å
α = 90.00°, β = 90.00°, γ = 120.00°
Space group P-3 (No. 147)
Asymmetric unit:
Ca1 0.3333 0.6667 0.2498 (multiplicity 2)
P1 0.0000 0.0000 0.0000 (multiplicity 1)
P2 0.1243 0.7134 0.7457 (multiplicity 6)
Ir1 0.0649 0.4478 0.7522 (multiplicity 6)
Ir2 0.1048 0.2602 0.2579 (multiplicity 6)

Output
E, eV/atom: -45.68
V, Å³ per atom: 14.51
Energy of formation, eV per atom: -0.666
Total magnetization, μB per atom: 0.000

---

(7)
Compound: LaHgIr
Source: the Alexandria database
Functional: meta-GGA SCAN
Structure: PBEsol geometry

a = 3.274 Å, b = 3.662 Å, c = 11.101 Å
α = 90.00°, β = 90.00°, γ = 90.00°
Space group Imm2 (No. 44)
Asymmetric unit:
La1 0.000 0.000 0.000 (multiplicity 2)
Hg1 0.000 0.000 0.289 (multiplicity 2)
Ir1 0.000 0.000 0.647 (multiplicity 2)

Output
E, eV/atom: -61.16
V, Å³ per atom: 22.18
Energy of formation, eV per atom: -0.369
Total magnetization, μB per atom: 0.000

---

(8)
Compound: CdMo2Au
Source: the Alexandria database
Functional: meta-GGA SCAN
Structure: PBEsol geometry

a = 3.816 Å, b = 3.816 Å, c = 4.485 Å
α = 90.00°, β = 90.00°, γ = 90.00°
Space group P4/mmm (No. 123)
Asymmetric unit:
Cd1 0.000 0.000 0.000 (multiplicity 1)
Mo1 0.000 0.500 0.500 (multiplicity 2)
Au1 0.500 0.500 0.000 (multiplicity 1)

Output
E, eV/atom: -42.07
V, Å³ per atom: 16.33
Energy of formation, eV per atom: 0.269
Total magnetization, μB per atom: 0.000

---

(9)
Compound: As2PtW
Source: the Alexandria database
Functional: meta-GGA SCAN
Structure: PBEsol geometry

a = 8.487 Å, b = 3.377 Å, c = 4.711 Å
α = 90.00°, β = 106.65°, γ = 90.00°
Space group Cm (No. 8)
Asymmetric unit:
As1 0.000 0.000 0.000 (multiplicity 2)
As2 0.226 0.000 0.622 (multiplicity 2)
Pt1 0.475 0.000 0.435 (multiplicity 2)
W1 0.219 0.500 0.038 (multiplicity 2)

Output
E, eV/atom: -45.02
V, Å³ per atom: 16.17
Energy of formation, eV per atom: 0.047
Total magnetization, μB per atom: 0.000

---

(10)
Compound: LiCuPb3
Source: the Alexandria database
Functional: meta-GGA SCAN
Structure: PBEsol geometry

a = 5.199 Å, b = 5.199 Å, c = 5.199 Å
α = 90.00°, β = 90.00°, γ = 90.00°
Space group Pm-3m (No. 221)
Asymmetric unit:
Li1 0.000 0.000 0.000 (multiplicity 1)
Cu1 0.500 0.500 0.500 (multiplicity 1)
Pb1 0.000 0.500 0.500 (multiplicity 3)

Output
E, eV/atom: -48.82
V, Å³ per atom: 28.11
Energy of formation, eV per atom: 0.165
Total magnetization, μB per atom: 0.000

---

(11)
Compound: BaRu2Pb
Source: the Alexandria database
Functional: meta-GGA SCAN
Structure: PBEsol geometry

a = 4.2787 Å, b = 4.2787 Å, c = 19.2851 Å
α = 90.00°, β = 90.00°, γ = 120.00°
Space group R3m (No. 160, hexagonal axes)
Asymmetric unit:
Ba1 0.0000 0.0000 0.0000 (multiplicity 3)
Ru1 0.0000 0.0000 0.4566 (multiplicity 3)
Ru2 0.0000 0.0000 0.7888 (multiplicity 3)
Pb1 0.0000 0.0000 0.1988 (multiplicity 3)

Output
E, eV/atom: -46.18
V, Å³ per atom: 25.48
Energy of formation, eV per atom: 0.071
Total magnetization, μB per atom: 0.000

---

(12)
Compound: ScCdBW2
Source: the Alexandria database
Functional: meta-GGA SCAN
Structure: PBEsol geometry

a = 4.255 Å, b = 4.255 Å, c = 4.421 Å
α = 90.00°, β = 90.00°, γ = 90.00°
Space group P4/mmm (No. 123)
Asymmetric unit:
Sc1 0.000 0.000 0.000 (multiplicity 1)
Cd1 0.500 0.500 0.000 (multiplicity 1)
B1 0.500 0.500 0.500 (multiplicity 1)
W1 0.000 0.500 0.500 (multiplicity 2)

Output
E, eV/atom: -37.93
V, Å³ per atom: 16.01
Energy of formation, eV per atom: 0.364
Total magnetization, μB per atom: 0.000

---

(13)
Compound: NaLi3H8N4
Source: the Alexandria database
Functional: meta-GGA SCAN
Structure: PBEsol geometry

a = 4.954 Å, b = 4.954 Å, c = 11.458 Å
α = 90.00°, β = 90.00°, γ = 90.00°
Space group I-4 (No. 82)
Asymmetric unit:
Na1 0.000 0.000 0.000 (multiplicity 2)
Li1 0.000 0.000 0.237 (multiplicity 4)
Li2 0.000 0.500 0.750 (multiplicity 2)
H1 0.069 0.324 0.360 (multiplicity 8)
H2 0.094 0.748 0.581 (multiplicity 8)
N1 0.233 0.745 0.648 (multiplicity 8)

Output
E, eV/atom: -5.32
V, Å³ per atom: 8.79
Total magnetization, μB per atom: 0.000

---

(14)
Compound: Lu2Fe12P7
Source: the Alexandria database
Functional: meta-GGA SCAN
Structure: PBEsol geometry

a = 8.7834 Å, b = 8.7834 Å, c = 3.5715 Å
α = 90.00°, β = 90.00°, γ = 120.00°
Space group P-6 (No. 174)
Asymmetric unit:
Lu1 0.0000 0.0000 0.0000 (multiplicity 1)
Lu2 0.3333 0.6667 0.5000 (multiplicity 1)
Fe1 0.0508 0.2842 0.5000 (multiplicity 3)
Fe2 0.0930 0.7031 0.0000 (multiplicity 3)
Fe3 0.3918 0.1778 0.0000 (multiplicity 3)
Fe4 0.5500 0.4284 0.5000 (multiplicity 3)
P1 0.0792 0.4482 0.0000 (multiplicity 3)
P2 0.2644 0.2204 0.5000 (multiplicity 3)
P3 0.6667 0.3333 0.0000 (multiplicity 1)

Output
E, eV/atom: -19.75
V, Å³ per atom: 11.36
Energy of formation, eV per atom: -0.650
Total magnetization, μB per atom: 0.085

---

(15)
Compound: Ta3AuCl
Source: the Alexandria database
Functional: meta-GGA SCAN
Structure: PBEsol geometry

a = 4.943 Å, b = 4.943 Å, c = 4.943 Å
α = 90.00°, β = 90.00°, γ = 90.00°
Space group Pm-3m (No. 221)
Asymmetric unit:
Ta1 0.000 0.000 0.500 (multiplicity 3)
Au1 0.000 0.000 0.000 (multiplicity 1)
Cl1 0.500 0.500 0.500 (multiplicity 1)

Output
E, eV/atom: -53.55
Formation energy (no corrections), eV/f.u.: 9.1
V, Å³ per atom: 24.15
Total magnetization, μB per atom: 0.000

---

(16)
Compound: MnAsSCl2
Source: the Alexandria database
Functional: meta-GGA SCAN
Structure: PBEsol geometry

a = 4.899 Å, b = 4.899 Å, c = 4.848 Å
α = 90.00°, β = 90.00°, γ = 90.00°
Space group P4/mmm (No. 123)
Asymmetric unit:
Mn1 0.000 0.000 0.000 (multiplicity 1)
As1 0.500 0.500 0.500 (multiplicity 1)
S1 0.500 0.500 0.000 (multiplicity 1)
Cl1 0.000 0.500 0.500 (multiplicity 2)

Output
E, eV/atom: -12.89
Formation energy (no corrections), eV/f.u.: -0.4
V, Å³ per atom: 23.27
Total magnetization, μB per atom: 1.169

---

(17)
Compound: Ba6Na2Nb2V2O17
Source: the Alexandria database
Functional: meta-GGA SCAN
Structure: PBEsol geometry

a = 5.8930 Å, b = 5.8930 Å, c = 30.1102 Å
α = 90.00°, β = 90.00°, γ = 120.00°
Space group P6_3/mmc (No. 194)
Asymmetric unit:
Ba1 0.0000 0.0000 0.0000 (multiplicity 2)
Ba2 0.0000 0.0000 0.2500 (multiplicity 2)
Ba3 0.3333 0.6667 0.0903 (multiplicity 4)
Ba4 0.3333 0.6667 0.6814 (multiplicity 4)
Na1 0.0000 0.0000 0.1230 (multiplicity 4)
Nb1 0.3333 0.6667 0.2013 (multiplicity 4)
V1 0.3333 0.6667 0.5516 (multiplicity 4)
O1 0.0249 0.5124 0.2500 (multiplicity 6)
O2 0.1730 0.3461 0.1693 (multiplicity 12)
O3 0.1753 0.3506 0.5714 (multiplicity 12)
O4 0.3333 0.6667 0.0048 (multiplicity 4)

Output
E, eV/atom: -18.59
Formation energy (no corrections), eV/f.u.: -86.3
V, Å³ per atom: 15.61
Excess energy over the best structure of this formula in the dataset, eV/f.u.: 0.46
Total magnetization, μB per atom: 0.000

---

(18)
Compound: SrYSbI2
Source: the Alexandria database
Functional: meta-GGA SCAN
Structure: PBEsol geometry

a = 5.776 Å, b = 5.776 Å, c = 5.987 Å
α = 90.00°, β = 90.00°, γ = 90.00°
Space group P4/mmm (No. 123)
Asymmetric unit:
Sr1 0.000 0.000 0.000 (multiplicity 1)
Y1 0.500 0.500 0.500 (multiplicity 1)
Sb1 0.500 0.500 0.000 (multiplicity 1)
I1 0.000 0.500 0.500 (multiplicity 2)

Output
E, eV/atom: -33.17
Formation energy (no corrections), eV/f.u.: -5.0
V, Å³ per atom: 39.94
Excess energy over the best structure of this formula in the dataset, eV/f.u.: 0.00
Total magnetization, μB per atom: 0.000

---

(19)
Compound: ZnHg2Br
Source: the Alexandria database
Functional: meta-GGA SCAN
Structure: PBEsol geometry

a = 3.435 Å, b = 3.485 Å, c = 8.080 Å
α = 90.00°, β = 90.10°, γ = 90.00°
Space group Pm (No. 6)
Asymmetric unit:
Zn1 0.000 0.000 0.000 (multiplicity 1)
Hg1 0.493 0.000 0.473 (multiplicity 1)
Hg2 0.501 0.500 0.168 (multiplicity 1)
Br1 0.000 0.500 0.774 (multiplicity 1)

Output
E, eV/atom: -42.49
Formation energy (no corrections), eV/f.u.: -0.7
V, Å³ per atom: 24.18
Excess energy over the best structure of this formula in the dataset, eV/f.u.: 0.00
Total magnetization, μB per atom: 0.000

---

(20)
Compound: CuRe2Si
Source: the Alexandria database
Functional: meta-GGA SCAN
Structure: PBEsol geometry

a = 2.967 Å, b = 4.178 Å, c = 8.384 Å
α = 90.00°, β = 90.00°, γ = 90.00°
Space group Imm2 (No. 44)
Asymmetric unit:
Cu1 0.000 0.000 0.000 (multiplicity 2)
Re1 0.000 0.000 0.535 (multiplicity 2)
Re2 0.000 0.500 0.769 (multiplicity 2)
Si1 0.000 0.500 0.275 (multiplicity 2)

Output
E, eV/atom: -41.80
Formation energy (no corrections), eV/f.u.: 0.2
V, Å³ per atom: 12.99
Total magnetization, μB per atom: 0.000

---

(21)
Compound: YFePd3
Source: the Alexandria database
Functional: meta-GGA SCAN
Structure: PBEsol geometry

a = 4.849 Å, b = 4.849 Å, c = 4.849 Å
α = 90.00°, β = 90.00°, γ = 90.00°
Space group Pm-3m (No. 221)
Asymmetric unit:
Y1 0.000 0.000 0.000 (multiplicity 1)
Fe1 0.500 0.500 0.500 (multiplicity 1)
Pd1 0.000 0.000 0.500 (multiplicity 3)

Output
E, eV/atom: -27.86
V, Å³ per atom: 22.81
Energy of formation, eV per atom: 1.002
Total magnetization, μB per atom: 0.647

---

(22)
Compound: TlCoNF2
Source: the Alexandria database
Functional: meta-GGA SCAN
Structure: PBEsol geometry

a = 4.410 Å, b = 4.410 Å, c = 4.151 Å
α = 90.00°, β = 90.00°, γ = 90.00°
Space group P4/mmm (No. 123)
Asymmetric unit:
Tl1 0.000 0.000 0.000 (multiplicity 1)
Co1 0.500 0.500 0.500 (multiplicity 1)
N1 0.000 0.000 0.500 (multiplicity 1)
F1 0.000 0.500 0.000 (multiplicity 2)

Output
E, eV/atom: -20.99
Formation energy (no corrections), eV/f.u.: 1.1
V, Å³ per atom: 16.15
Total magnetization, μB per atom: 0.612

---

(23)
Compound: LiCa3Ta
Source: the Alexandria database
Functional: meta-GGA SCAN
Structure: PBEsol geometry

a = 5.347 Å, b = 5.347 Å, c = 5.347 Å
α = 90.00°, β = 90.00°, γ = 90.00°
Space group Pm-3m (No. 221)
Asymmetric unit:
Li1 0.000 0.000 0.000 (multiplicity 1)
Ca1 0.000 0.000 0.500 (multiplicity 3)
Ta1 0.500 0.500 0.500 (multiplicity 1)

Output
E, eV/atom: -18.45
V, Å³ per atom: 30.58
Energy of formation, eV per atom: 1.140
Total magnetization, μB per atom: 0.512